## Tb2Br2Cl (PBE)

Data for Tb2Br2Cl after structural relaxation.

SG: C2/m, No. 12
Magnetization in μB/atom: 0.06
DOS at the Fermi energy in states/eV/cell: 6.31
Formation energy from raw total energies in eV/atom: -1.518
Calculated total energy in eV for the cell shown: -44.1
Mass density in g/cm3: 5.077

a = 3.914 Å, b = 8.227 Å, c = 10.728 Å
α = 98.62°, β = 100.51°, γ = 90.00°
Atoms (fractional coordinates):
Cl1 0.191 0.555 0.383
Cl2 0.809 0.445 0.617
Br1 0.911 0.833 0.821
Tb1 0.182 0.911 0.363
Br2 0.410 0.227 0.821
Tb2 0.680 0.305 0.360
Br3 0.089 0.167 0.179
Tb3 0.818 0.089 0.637
Tb4 0.320 0.695 0.640
Br4 0.590 0.773 0.179

## TcBr3Cl (PBE)

Data for TcBr3Cl after structural relaxation.

SG: Pm-3m, No. 221
Magnetization in μB/atom: 0.88
DOS at the Fermi energy in states/eV/cell: 6.98
Formation energy from raw total energies in eV/atom: 1.082
Calculated total energy in eV for the cell shown: -11.8
Mass density in g/cm3: 4.044
Offset from the most stable computed form in eV per formula unit: 7.62

a = 5.351 Å, b = 5.351 Å, c = 5.351 Å
α = 90.00°, β = 90.00°, γ = 90.00°
Atoms (fractional coordinates):
Br1 0.500 0.000 0.000
Br2 0.000 0.500 0.000
Cl1 0.000 0.000 0.000
Br3 0.000 0.000 0.500
Tc1 0.500 0.500 0.500